# Ac6NiRu2

A relaxed structure of Ac6NiRu2 (PBE-GGA, Alexandria via LeMat-Bulk).

Relative energy among the computed polymorphs, meV/atom: 92
Crystal system: monoclinic
VASP energy, eV per atom: -5.548
Formation enthalpy at 0 K, eV/atom: -0.10
Fermi-level density of states, states/eV/cell: 6.50
Space-group type: C2/m, No. 12
V, A^3/atom: 36.559

Cell: 5.627 7.433 9.416 Å, 66.43 72.61 67.76°
Element x y z (fractional)
Ac  0.648  0.284  0.420
Ac  0.989  0.806  0.216
Ac  0.688  0.712  0.912
Ac  0.352  0.716  0.580
Ac  0.011  0.194  0.784
Ac  0.312  0.288  0.088
Ru  0.182  0.749  0.887
Ru  0.818  0.251  0.113
Ni  0.000  0.500  0.500